Entry 1:
Fe2OsW | Alexandria | PBE | optimized geometry; calculated formation energy = 0.10 eV per atom; D(E_F) = 1.15 states/eV per atom; size of the total moment = 3.6 μB/f.u.; mass density = 15.1 g/cm3; symmetry = No. 119
1.0
3.769 0.000 0.000
0.000 3.769 0.000
0.000 0.000 7.508
Fe Os W
4 2 2
direct
0.000 0.000 0.000 Fe
0.000 0.500 0.250 Fe
0.500 0.000 0.750 Fe
0.500 0.500 0.500 Fe
0.000 0.500 0.750 Os
0.500 0.000 0.250 Os
0.000 0.000 0.500 W
0.500 0.500 0.000 W



Entry 2:
Fe2OsW | Alexandria | PBE | optimized geometry; calculated formation energy = 0.09 eV per atom; D(E_F) = 1.12 states/eV per atom; size of the total moment = 0.5 μB/f.u.; mass density = 15.7 g/cm3; symmetry = No. 139
1.0
3.747 0.000 0.000
0.000 3.747 0.000
0.000 0.000 7.325
Fe Os W
4 2 2
direct
0.000 0.500 0.250 Fe
0.000 0.500 0.750 Fe
0.500 0.000 0.250 Fe
0.500 0.000 0.750 Fe
0.000 0.000 0.000 Os
0.500 0.500 0.500 Os
0.000 0.000 0.500 W
0.500 0.500 0.000 W



Question: What is the formula in the second record?
Answer: Fe2OsW



Question: Which of these has the lowest size of the total moment?
Answer: number 2